The following is a DFT calculation (GGA-PBE) of crystalline TcNi4Rh2 at its relaxed geometry. Values from VASP.

```
&SYSTEM
  ibrav = 0, nat = 14, ntyp = 3
/
ATOMIC_SPECIES
Tc 98.00 Tc.upf
Ni 58.69 Ni.upf
Rh 102.91 Rh.upf
CELL_PARAMETERS angstrom
0.0000 9.2816 2.3985
3.9759 0.0000 2.3985
3.9759 9.2816 0.0000
ATOMIC_POSITIONS crystal
Tc 0.0000 0.0000 0.0000
Tc 0.2500 0.2500 0.2500
Ni 0.1671 0.7596 0.5261
Ni 0.2204 0.2251 0.5496
Ni 0.2251 0.2204 0.0050
Ni 0.2450 0.7004 0.0249
Ni 0.7004 0.2450 0.0296
Ni 0.7028 0.7239 0.4904
Ni 0.7239 0.7028 0.0829
Ni 0.7596 0.1671 0.5472
Rh 0.2789 0.6540 0.6787
Rh 0.5713 0.8617 0.9711
Rh 0.6540 0.2789 0.3883
Rh 0.8617 0.5713 0.5960
```

Values from the calculation:
SG ... Fdd2, No. 43
Formation energy ... 139.5 meV/atom
Energy above the lowest structure with this stoichiometry ... 0 meV/atom
M_tot ... 1.027 μB per formula unit